First-principles (PBE-GGA) data for TePt3 after structural relaxation, as listed in the Alexandria database.

Cell: 4.644 4.644 4.644 Å, 109.51 109.51 109.51°
Element x y z (fractional)
Pt: 0.000 0.000 0.000
Pt: 0.500 0.000 0.500
Pt: 0.500 0.500 0.000
Te: 0.000 0.500 0.500

## Properties
The formation energy without anion corrections is -0.045 eV/atom. The space group is Im-3m, No. 229.

=====

First-principles (PBE-GGA) data for NdZn2GeIr after structural relaxation, as listed in the Alexandria database.

Cell: 4.015 4.226 6.224 Å, 109.85 108.82 90.00°
Element x y z (fractional)
Nd: 0.439 0.439 0.878
Zn: 0.693 0.193 0.386
Zn: 0.058 0.058 0.117
Ge: 0.828 0.828 0.656
Ir: 0.194 0.694 0.388

## Properties
The value obtained for the formation energy is -0.453 eV/atom. The space group is Imm2, No. 44.

=====

First-principles (PBE-GGA) data for MnZnSe2Br after structural relaxation, as listed in the Alexandria database.

Cell: 4.877 4.877 5.257 Å, 90.00 90.00 90.00°
Last column: magnetic moment on the atom in μB.
Element x y z (fractional)
Zn: 0.000 0.000 0.000  0.00
Mn: 0.500 0.500 0.500  4.51
Se: 0.000 0.500 0.000  -0.04
Se: 0.500 0.000 0.000  -0.04
Br: 0.000 0.000 0.500  0.05

## Properties
The formation energy without anion corrections is 0.305 eV/atom. Its energy above the most stable polymorph in this dataset is 1.24 kcal/mol of atoms. The space group is P4/mmm, No. 123.

=====

First-principles (PBE-GGA) data for NdYSiPd after structural relaxation, as listed in the Alexandria database.

Cell: 5.075 5.075 5.075 Å, 60.00 60.00 60.00°
Element x y z (fractional)
Y: 0.500 0.500 0.500
Si: 0.750 0.750 0.750
Nd: 0.000 0.000 0.000
Pd: 0.250 0.250 0.250

## Properties
The formation energy without anion corrections is -0.670 eV/atom. Its energy above the most stable polymorph in this dataset is 2.87 kcal/mol of atoms. The space group is F-43m, No. 216.

=====

First-principles (PBE-GGA) data for Y3ZnFe after structural relaxation, as listed in the Alexandria database.

Cell: 5.149 5.149 5.149 Å, 90.00 90.00 90.00°
Element x y z (fractional)
Y: 0.000 0.500 0.000
Y: 0.000 0.000 0.500
Y: 0.500 0.000 0.000
Zn: 0.500 0.500 0.500
Fe: 0.000 0.000 0.000

## Properties
The value obtained for the formation energy is 0.129 eV/atom. Its energy above the most stable polymorph in this dataset is 5.63 kcal/mol of atoms. The space group is Pm-3m, No. 221.

=====

First-principles (PBE-GGA) data for TaCuHg after structural relaxation, as listed in the Alexandria database.

Cell: 6.225 6.225 6.225 Å, 152.58 152.58 39.17°
Element x y z (fractional)
Cu: 0.995 0.995 0.000
Hg: 0.657 0.657 0.000
Ta: 0.348 0.348 0.000

## Properties
The value obtained for the formation energy is 0.235 eV/atom. Its energy above the most stable polymorph in this dataset is 0.00 kcal/mol of atoms. The space group is I4mm, No. 107.

=====

First-principles (PBE-GGA) data for NdCdNi after structural relaxation, as listed in the Alexandria database.

Cell: 4.670 4.670 4.670 Å, 60.00 60.00 60.00°
Element x y z (fractional)
Ni: 0.250 0.250 0.250
Nd: 0.000 0.000 0.000
Cd: 0.500 0.500 0.500

## Properties
The value obtained for the formation energy is -0.192 eV/atom. The space group is F-43m, No. 216.

=====

First-principles (PBE-GGA) data for LiRh2 after structural relaxation, as listed in the Alexandria database.

Cell: 2.813 4.316 6.815 Å, 108.46 90.00 90.00°
Element x y z (fractional)
Li: 0.750 0.572 0.144
Li: 0.250 0.428 0.856
Rh: 0.750 0.271 0.541
Rh: 0.250 0.086 0.172
Rh: 0.750 0.914 0.828
Rh: 0.250 0.729 0.459

## Properties
The value obtained for the formation energy is -0.054 eV/atom. The space group is Cmcm, No. 63.

=====

First-principles (PBE-GGA) data for LaNdHo2Er5 after structural relaxation, as listed in the Alexandria database.

Cell: 8.841 8.841 9.763 Å, 116.92 116.92 90.00°
Element x y z (fractional)
La: 0.250 0.250 0.500
La: 0.750 0.750 0.500
Nd: 0.250 0.750 0.500
Nd: 0.750 0.250 0.500
Ho: 0.115 0.385 0.000
Ho: 0.615 0.115 0.000
Ho: 0.385 0.885 0.000
Ho: 0.885 0.615 0.000
Er: 0.927 0.427 0.261
Er: 0.666 0.166 0.739
Er: 0.073 0.573 0.739
Er: 0.166 0.073 0.739
Er: 0.573 0.666 0.739
Er: 0.834 0.927 0.261
Er: 0.427 0.334 0.261
Er: 0.334 0.834 0.261
Er: 0.500 0.500 0.000
Er: 0.000 0.000 0.000

## Properties
The value obtained for the formation energy is 0.276 eV/atom. The space group is I4/mcm, No. 140.

=====

First-principles (PBE-GGA) data for ZrIr2Ru after structural relaxation, as listed in the Alexandria database.

Cell: 6.334 4.801 2.885 Å, 89.96 62.96 121.54°
Element x y z (fractional)
Ir: 0.000 0.000 0.000
Ir: 0.500 0.000 0.500
Ru: 0.000 0.500 0.500
Zr: 0.500 0.500 0.000

## Properties
The value obtained for the formation energy is -0.399 eV/atom. Its energy above the most stable polymorph in this dataset is 3.03 kcal/mol of atoms. The space group is Cmmm, No. 65.

=====

First-principles (PBE-GGA) data for BaBO2F after structural relaxation, as listed in the Alexandria database.

Cell: 2.991 9.225 4.934 Å, 94.55 90.00 99.33°
Element x y z (fractional)
Ba: 0.344 0.687 0.284
Ba: 0.656 0.313 0.716
B: 0.035 0.070 0.165
B: 0.965 0.930 0.835
O: 0.435 0.870 0.716
O: 0.565 0.130 0.284
O: 0.046 0.092 0.870
O: 0.954 0.908 0.130
F: 0.726 0.453 0.243
F: 0.274 0.547 0.757

## Properties
The formation energy without anion corrections is -2.397 eV/atom. The space group is C2/m, No. 12.

=====

First-principles (PBE-GGA) data for TaZn2Ru after structural relaxation, as listed in the Alexandria database.

Cell: 5.128 5.128 2.751 Å, 82.00 82.00 118.47°
Last column: magnetic moment on the atom in μB.
Element x y z (fractional)
Ru: 0.500 0.000 0.500  0.41
Ta: 0.000 0.500 0.500  0.00
Zn: 0.000 0.000 0.000  0.00
Zn: 0.500 0.500 0.000  0.00

## Properties
The value obtained for the formation energy is 0.069 eV/atom. Its energy above the most stable polymorph in this dataset is 4.23 kcal/mol of atoms. The space group is C2/m, No. 12.

=====

First-principles (PBE-GGA) data for Re2Mo after structural relaxation, as listed in the Alexandria database.

Cell: 4.458 2.713 4.458 Å, 90.00 120.00 90.00°
Element x y z (fractional)
Mo: 0.000 0.000 0.000
Re: 0.667 0.500 0.333
Re: 0.333 0.500 0.667

## Properties
The value obtained for the formation energy is 0.255 eV/atom. Its energy above the most stable polymorph in this dataset is 3.22 kcal/mol of atoms. The space group is P6/mmm, No. 191.

=====

Number 1: magnetization 0.0000 μB/atom. Number 2: magnetization 0.0000 μB/atom. Number 3: magnetization 0.9778 μB/atom. Number 4: magnetization 0.0000 μB/atom. Number 5: magnetization 0.0000 μB/atom. Number 6: magnetization 0.0000 μB/atom. Number 7: magnetization 0.0000 μB/atom. Number 8: magnetization 0.0000 μB/atom. Number 9: magnetization 0.0000 μB/atom. Number 10: magnetization 0.0000 μB/atom. Number 11: magnetization 0.0000 μB/atom. Number 12: magnetization 0.1084 μB/atom. Number 13: magnetization 0.0000 μB/atom.